K2SnBr4Cl2: relaxed, PBE.

Calculated values
Volume in Å³ per cell: 303.2
Space-group type: C2/m
Formation energy (no corrections) in eV per atom: -1.262
M_tot in μB per atom: 0.000
DFT total energy in eV per atom: -3.10

Cell: 7.662 7.506 7.506 Å, 60.56 59.32 59.32°
Sites, in units of the cell vectors:
Br 0.701 0.284 0.792
Cl 0.196 0.232 0.232
Br 0.701 0.792 0.284
K 0.238 0.752 0.752
Sn 0.500 0.000 0.000
Cl 0.804 0.768 0.768
Br 0.299 0.716 0.208
K 0.762 0.248 0.248
Br 0.299 0.208 0.716